The following is a DFT calculation (PBE) of a geometry-optimized KCuB structure.

Geometry as POSCAR:
```
KCuB
1.0
0.000 3.433 3.433
3.433 0.000 3.433
3.433 3.433 0.000
B Cu K
1 1 1
Direct
0.250 0.250 0.250
0.750 0.750 0.750
0.000 0.000 0.000
```

Output
distance to the lowest polymorph of the same formula = 529 meV per atom
energy = -5.3 eV per cell
volume = 80.9 Å³/cell

***

The following is a DFT calculation (PBE) of a geometry-optimized LaCuB4 structure.

Geometry as POSCAR:
```
LaCuB4
1.0
-1.571 2.676 4.229
1.571 -2.676 4.229
1.571 2.676 -4.229
B Cu La
4 1 1
Direct
0.567 0.244 0.322
0.078 0.756 0.322
0.922 0.244 0.678
0.433 0.756 0.678
0.000 0.000 0.000
0.500 0.500 0.000
```

Output
distance to the lowest polymorph of the same formula = 85 meV per atom
total magnetic moment = 0.000 μB per atom
energy = -34.6 eV per cell
volume = 71.1 Å³/cell

***

The following is a DFT calculation (PBE) of a geometry-optimized LaCuB4 structure.

Geometry as POSCAR:
```
LaCuB4
1.0
-3.116 0.822 0.164
0.855 -2.835 -1.282
-0.458 -3.003 6.336
B Cu La
4 1 1
Direct
0.667 0.333 0.200
0.333 0.667 0.200
0.667 0.333 0.800
0.333 0.667 0.800
0.000 0.000 0.000
0.000 0.000 0.500
```

Output
distance to the lowest polymorph of the same formula = 0 meV per atom
total magnetic moment = 0.000 μB per atom
energy = -35.1 eV per cell
volume = 63.4 Å³/cell

***

The following is a DFT calculation (PBE) of a geometry-optimized LaPrCu2B2N2 structure.

Geometry as POSCAR:
```
LaPrCu2B2N2
1.0
-0.322 -3.324 1.602
3.631 -0.571 -0.453
1.378 3.228 6.975
B Cu La N Pr
2 2 1 2 1
Direct
0.000 0.000 0.333
0.500 0.500 0.667
0.500 0.000 0.499
0.000 0.500 0.499
0.000 0.000 0.831
0.000 0.000 0.150
0.500 0.500 0.850
0.500 0.500 0.171
```

Output
total magnetic moment = 0.000 μB per atom
energy = -53.3 eV per cell
volume = 107.1 Å³/cell

***

The following is a DFT calculation (PBE) of a geometry-optimized LiCuB2 structure.

Geometry as POSCAR:
```
LiCuB2
1.0
1.785 1.030 2.914
-1.785 1.030 2.914
0.000 -2.061 2.914
B Cu Li
2 1 1
Direct
0.000 0.000 0.000
0.750 0.750 0.750
0.250 0.250 0.250
0.500 0.500 0.500
```

Output
energy = -16.5 eV per cell
volume = 32.2 Å³/cell

***

The following is a DFT calculation (PBE) of a geometry-optimized LiCu5B2 structure.

Geometry as POSCAR:
```
LiCu5B2
1.0
3.813 0.000 0.000
0.000 3.813 0.000
0.000 0.000 5.533
B Cu Li
2 5 1
Direct
0.000 0.000 0.000
0.500 0.500 0.500
0.500 0.500 0.000
0.500 0.000 0.260
0.000 0.500 0.260
0.500 0.000 0.740
0.000 0.500 0.740
0.000 0.000 0.500
```

Output
energy = -31.3 eV per cell
volume = 80.4 Å³/cell

***

The following is a DFT calculation (PBE) of a geometry-optimized LiCu5B2 structure.

Geometry as POSCAR:
```
LiCu5B2
1.0
-1.572 3.174 1.431
-1.949 0.500 -3.248
-4.154 -2.975 2.035
B Cu Li
2 5 1
Direct
0.000 0.000 0.000
0.500 0.500 0.500
0.500 0.000 0.240
0.000 0.500 0.240
0.000 0.000 0.500
0.500 0.000 0.760
0.000 0.500 0.760
0.500 0.500 0.000
```

Output
energy = -31.3 eV per cell
volume = 80.3 Å³/cell

***

The following is a DFT calculation (PBE) of a geometry-optimized LiLuCuB structure.

Geometry as POSCAR:
```
LiLuCuB
1.0
0.000 2.974 2.974
2.974 0.000 2.974
2.974 2.974 0.000
B Cu Li Lu
1 1 1 1
Direct
0.000 0.000 0.000
0.750 0.750 0.750
0.250 0.250 0.250
0.500 0.500 0.500
```

Output
distance to the lowest polymorph of the same formula = 156 meV per atom
total magnetic moment = 0.000 μB per atom
energy = -16.1 eV per cell
volume = 52.6 Å³/cell

***

The following is a DFT calculation (PBE) of a geometry-optimized LiLuCuB structure.

Geometry as POSCAR:
```
LiLuCuB
1.0
-1.680 -3.191 -2.154
-4.106 -0.003 -0.889
-1.294 0.585 -3.953
B Cu Li Lu
1 1 1 1
Direct
0.000 0.000 0.000
0.750 0.750 0.750
0.500 0.500 0.500
0.250 0.250 0.250
```

Output
distance to the lowest polymorph of the same formula = 0 meV per atom
total magnetic moment = 0.000 μB per atom
energy = -16.7 eV per cell
volume = 52.4 Å³/cell

***

The following is a DFT calculation (PBE) of a geometry-optimized LiMgCuB structure.

Geometry as POSCAR:
```
LiMgCuB
1.0
0.000 2.820 2.820
2.820 0.000 2.820
2.820 2.820 0.000
B Cu Li Mg
1 1 1 1
Direct
0.250 0.250 0.250
0.000 0.000 0.000
0.750 0.750 0.750
0.500 0.500 0.500
```

Output
distance to the lowest polymorph of the same formula = 0 meV per atom
energy = -12.9 eV per cell
volume = 44.9 Å³/cell

***

The following is a DFT calculation (PBE) of a geometry-optimized LiMgCu4B2 structure.

Geometry as POSCAR:
```
LiMgCu4B2
1.0
-1.988 3.080 1.106
-2.075 -0.185 -3.213
-3.838 -3.438 2.677
B Cu Li Mg
2 4 1 1
Direct
0.000 0.000 0.000
0.500 0.500 0.500
0.500 0.000 0.275
0.000 0.500 0.275
0.500 0.000 0.725
0.000 0.500 0.725
0.000 0.000 0.500
0.500 0.500 0.000
```

Output
energy = -29.3 eV per cell
volume = 85.1 Å³/cell

***

The following is a DFT calculation (PBE) of a geometry-optimized LiMgCuB structure.

Geometry as POSCAR:
```
LiMgCuB
1.0
0.000 2.832 2.832
2.832 0.000 2.832
2.832 2.832 0.000
B Cu Li Mg
1 1 1 1
Direct
0.000 0.000 0.000
0.750 0.750 0.750
0.250 0.250 0.250
0.500 0.500 0.500
```

Output
distance to the lowest polymorph of the same formula = 78 meV per atom
energy = -12.6 eV per cell
volume = 45.4 Å³/cell